VASP calculation (GGA-PBE) on a relaxed structure of TbNd3Dy3.

```
TbNd3Dy3
1.0
5.784 0.000 0.000
0.000 9.670 -0.004
0.000 -4.830 8.377
Dy Nd Tb
6 6 2
direct
0.750 0.616 0.095
0.250 0.384 0.905
0.750 0.905 0.521
0.250 0.521 0.616
0.750 0.479 0.384
0.250 0.095 0.479
0.750 0.757 0.807
0.250 0.807 0.049
0.250 0.950 0.757
0.750 0.050 0.243
0.750 0.193 0.951
0.250 0.243 0.193
0.750 0.333 0.667
0.250 0.667 0.333
```

Results
- Calculated total energy: -4.6549 eV/atom
- Symmetry: P6_3/m (176)
- E above lowest polymorph: 0.0 kJ/mol of atoms
- Energy relative to the elements: 0.16 eV/f.u.